{
  "formula": "Dy5BTe4",
  "functional": "PBE",
  "state": "optimized geometry",
  "cell": [[-4.783, 4.783, 3.015], [4.783, -4.783, 3.015], [4.783, 4.783, -3.015]],
  "species": ["Dy", "Dy", "Dy", "Dy", "Dy", "B", "Te", "Te", "Te", "Te"],
  "fractional_positions": [[0.000, 0.000, 0.000], [0.218, 0.378, 0.656], [0.378, 0.722, 0.160], [0.561, 0.218, 0.840], [0.722, 0.561, 0.344], [0.450, 0.450, 0.000], [0.057, 0.661, 0.778], [0.279, 0.057, 0.396], [0.661, 0.883, 0.604], [0.883, 0.279, 0.222]],
  "spacegroup": "I4 (79)",
  "raw_formation_energy_ev_per_atom": -1.132,
  "dft_energy_ev_per_atom": -5.36
}